Li3AlAg6 after structural relaxation. Source: the Alexandria database, functional PBE.

Summary:
total DFT energy (no corrections): -2.75 eV/atom
excess energy over the best structure of this formula in the dataset: 64 meV/atom
volume: 17.33 A^3/atom
symmetry: R-3, No. 148
E_form: -89 kJ/mol of formula units

Cell lengths 7.0266, 7.0266, 7.0266 Å; angles 91.39, 91.39, 91.39 degrees
With the nearest neighbours (Å) after each atom.
Element x y z (fractional)
Li: 0.2806 0.7394 0.8721  4 Ag 2.57-2.85, 1 Al 2.87
Li: 0.7394 0.8721 0.2806  4 Ag 2.57-2.85, 1 Al 2.87
Li: 0.1279 0.7194 0.2606  4 Ag 2.57-2.85, 1 Al 2.87
Li: 0.8721 0.2806 0.7394  4 Ag 2.57-2.85, 1 Al 2.87
Li: 0.2606 0.1279 0.7194  4 Ag 2.57-2.85, 1 Al 2.87
Li: 0.7194 0.2606 0.1279  4 Ag 2.57-2.85, 1 Al 2.87
Al: 0.0000 0.0000 0.0000  6 Ag 2.76, 6 Li 2.87
Al: 0.5000 0.5000 0.5000  6 Ag 2.58
Ag: 0.3677 0.0382 0.1446  1 Al 2.76, 6 Ag 2.84-3.09, 4 Li 2.85-3.03
Ag: 0.9618 0.8554 0.6323  1 Al 2.76, 6 Ag 2.84-3.09, 4 Li 2.85-3.03
Ag: 0.3795 0.8438 0.5077  3 Li 2.57-2.78, 1 Al 2.58, 1 Ag 2.75
Ag: 0.8554 0.6323 0.9618  1 Al 2.76, 6 Ag 2.84-3.09, 4 Li 2.85-3.03
Ag: 0.5077 0.3795 0.8438  3 Li 2.57-2.78, 1 Al 2.58, 1 Ag 2.75
Ag: 0.1562 0.4923 0.6205  3 Li 2.57-2.78, 1 Al 2.58, 1 Ag 2.75
Ag: 0.8438 0.5077 0.3795  3 Li 2.57-2.78, 1 Al 2.58, 1 Ag 2.75
Ag: 0.4923 0.6205 0.1562  3 Li 2.57-2.78, 1 Al 2.58, 1 Ag 2.75
Ag: 0.1446 0.3677 0.0382  1 Al 2.76, 6 Ag 2.84-3.09, 4 Li 2.85-3.03
Ag: 0.6205 0.1562 0.4923  3 Li 2.57-2.78, 1 Al 2.58, 1 Ag 2.75
Ag: 0.0382 0.1446 0.3677  1 Al 2.76, 6 Ag 2.84-3.09, 4 Li 2.85-3.03
Ag: 0.6323 0.9618 0.8554  1 Al 2.76, 6 Ag 2.84-3.09, 4 Li 2.85-3.03